[1]
# PBEsol PtRhSeN2, optimized geometry
data_PtRhSeN2
_chemical_formula_sum 'Pt1 Rh1 Se1 N2'
_symmetry_space_group_name_H-M 'P 1'
_symmetry_Int_Tables_number 1
_symmetry_space_group_name_Hall 'P 1'
_cell_length_a 3.665
_cell_length_b 3.665
_cell_length_c 5.611
_cell_angle_alpha 90.00
_cell_angle_beta 90.00
_cell_angle_gamma 90.00
loop_
_atom_site_label
_atom_site_type_symbol
_atom_site_fract_x
_atom_site_fract_y
_atom_site_fract_z
Pt1 Pt 0.000 0.000 0.000
Rh1 Rh 0.500 0.500 0.500
Se1 Se 0.500 0.500 0.000
N1 N 0.000 0.500 0.500
N2 N 0.500 0.000 0.500
# - E_form (uncorrected) (eV per atom) = 1.0291
# - space-group type = P4/mmm, No. 123
# - E above lowest polymorph (meV/atom) = 0.0


[2]
# PBEsol PtRhSeN2, optimized geometry
data_PtRhSeN2
_chemical_formula_sum 'Pt1 Rh1 Se1 N2'
_symmetry_space_group_name_H-M 'P 1'
_symmetry_Int_Tables_number 1
_symmetry_space_group_name_Hall 'P 1'
_cell_length_a 3.625
_cell_length_b 3.625
_cell_length_c 7.061
_cell_angle_alpha 90.00
_cell_angle_beta 90.00
_cell_angle_gamma 90.00
loop_
_atom_site_label
_atom_site_type_symbol
_atom_site_fract_x
_atom_site_fract_y
_atom_site_fract_z
Pt1 Pt 0.000 0.000 0.000
Rh1 Rh 0.500 0.500 0.500
Se1 Se 0.000 0.000 0.500
N1 N 0.000 0.500 0.000
N2 N 0.500 0.000 0.000
# - E_form (uncorrected) (eV per atom) = 1.2263
# - space-group type = P4/mmm, No. 123
# - E above lowest polymorph (meV/atom) = 197.2


[3]
# PBEsol PtSN3, optimized geometry
data_PtSN3
_chemical_formula_sum 'Pt1 S1 N3'
_symmetry_space_group_name_H-M 'P 1'
_symmetry_Int_Tables_number 1
_symmetry_space_group_name_Hall 'P 1'
_cell_length_a 3.856
_cell_length_b 3.856
_cell_length_c 3.856
_cell_angle_alpha 90.00
_cell_angle_beta 90.00
_cell_angle_gamma 90.00
loop_
_atom_site_label
_atom_site_type_symbol
_atom_site_fract_x
_atom_site_fract_y
_atom_site_fract_z
Pt1 Pt 0.000 0.000 0.000
S1 S 0.500 0.500 0.500
N1 N 0.000 0.000 0.500
N2 N 0.000 0.500 0.000
N3 N 0.500 0.000 0.000
# - E_form (uncorrected) (eV per atom) = 1.9966
# - space-group type = Pm-3m, No. 221


[4]
# PBEsol Pt3SN, optimized geometry
data_Pt3SN
_chemical_formula_sum 'Pt3 S1 N1'
_symmetry_space_group_name_H-M 'P 1'
_symmetry_Int_Tables_number 1
_symmetry_space_group_name_Hall 'P 1'
_cell_length_a 4.146
_cell_length_b 4.146
_cell_length_c 4.146
_cell_angle_alpha 90.00
_cell_angle_beta 90.00
_cell_angle_gamma 90.00
loop_
_atom_site_label
_atom_site_type_symbol
_atom_site_fract_x
_atom_site_fract_y
_atom_site_fract_z
Pt1 Pt 0.000 0.000 0.500
Pt2 Pt 0.000 0.500 0.000
Pt3 Pt 0.500 0.000 0.000
S1 S 0.500 0.500 0.500
N1 N 0.000 0.000 0.000
# - E_form (uncorrected) (eV per atom) = 0.8104
# - space-group type = Pm-3m, No. 221


[5]
# PBEsol ScPtSN2, optimized geometry
data_ScPtSN2
_chemical_formula_sum 'Sc1 Pt1 S1 N2'
_symmetry_space_group_name_H-M 'P 1'
_symmetry_Int_Tables_number 1
_symmetry_space_group_name_Hall 'P 1'
_cell_length_a 3.947
_cell_length_b 3.947
_cell_length_c 5.050
_cell_angle_alpha 90.00
_cell_angle_beta 90.00
_cell_angle_gamma 90.00
loop_
_atom_site_label
_atom_site_type_symbol
_atom_site_fract_x
_atom_site_fract_y
_atom_site_fract_z
Sc1 Sc 0.000 0.000 0.000
Pt1 Pt 0.500 0.500 0.500
S1 S 0.000 0.000 0.500
N1 N 0.000 0.500 0.000
N2 N 0.500 0.000 0.000
# - E_form (uncorrected) (eV per atom) = 1.0206
# - space-group type = P4/mmm, No. 123


[6]
# PBEsol ScPtS2N, optimized geometry
data_ScPtS2N
_chemical_formula_sum 'Sc1 Pt1 S2 N1'
_symmetry_space_group_name_H-M 'P 1'
_symmetry_Int_Tables_number 1
_symmetry_space_group_name_Hall 'P 1'
_cell_length_a 4.834
_cell_length_b 4.834
_cell_length_c 3.901
_cell_angle_alpha 90.00
_cell_angle_beta 90.00
_cell_angle_gamma 90.00
loop_
_atom_site_label
_atom_site_type_symbol
_atom_site_fract_x
_atom_site_fract_y
_atom_site_fract_z
Sc1 Sc 0.000 0.000 0.000
Pt1 Pt 0.500 0.500 0.500
S1 S 0.000 0.500 0.000
S2 S 0.500 0.000 0.000
N1 N 0.000 0.000 0.500
# - E_form (uncorrected) (eV per atom) = 0.5926
# - space-group type = P4/mmm, No. 123